TaFePt6 after structural relaxation, computed with GGA-PBE.

```
TaFePt6
1.0
5.597 0.000 0.000
0.000 5.597 0.000
0.000 0.000 3.960
Ta Fe Pt
1 1 6
Cartesian
0.000 0.000 0.000
2.799 2.799 0.000
0.000 2.799 0.000
1.395 1.395 1.980
1.395 4.202 1.980
2.799 0.000 0.000
4.202 1.395 1.980
4.202 4.202 1.980
```

Values from the calculation:
formation enthalpy at 0 K	-0.4905	eV per atom
E	-60.48	eV/f.u.
crystal system	tetragonal
excess energy over the best structure of this formula in the dataset	0.000	eV per atom
magnetization	0.56	μB/atom
symmetry	No. 123